(1)
VASP calculation (PBE-GGA) on crystalline NdTm2OsN4 at its relaxed geometry.

```
NdTm2OsN4
1.0
1.706 -5.806 0.000
1.706 5.806 0.000
0.000 0.000 11.522
Nd Tm Os N
2 4 2 8
Cartesian
1.706 4.417 8.642
1.706 -4.417 2.881
1.706 1.523 6.231
1.706 1.523 11.052
1.706 -1.523 0.470
1.706 -1.523 5.291
1.706 4.158 2.881
1.706 -4.158 8.642
0.000 0.000 0.000
0.000 0.000 5.761
1.706 2.731 1.438
1.706 2.731 4.324
1.706 0.651 8.642
1.706 -0.651 2.881
1.706 -2.731 7.199
1.706 -2.731 10.085
```

Output
Total energy, eV per atom: -8.28
DOS at the Fermi energy, states/eV/cell: 5.51

=====

(2)
VASP calculation (PBE-GGA) on crystalline Ba8RhAu4 at its relaxed geometry.

```
Ba8RhAu4
1.0
4.714 2.721 7.552
-4.714 2.721 7.552
0.000 -5.443 7.552
Ba Rh Au
8 1 4
Cartesian
-2.478 -1.431 13.270
0.000 -2.862 9.386
-2.478 1.431 9.386
0.000 0.000 5.569
0.000 0.000 17.087
2.478 -1.431 13.270
0.000 2.862 13.270
2.478 1.431 9.386
0.000 0.000 0.000
-4.714 0.000 11.328
-2.357 1.361 3.776
2.357 1.361 3.776
0.000 0.000 11.328
```

Output
E_form, meV/atom: -482
Total energy, eV per atom: -3.24
DOS at the Fermi energy, states/eV/cell: 9.64